Record 1
The following is a PBE calculation of crystalline Pu5Sb4H at its relaxed geometry, from Alexandria via LeMat-Bulk.

Lattice parameters (Å, degrees): 6.226 7.385 7.385 79.77 65.07 65.07
Element x y z (fractional)
1 Pu 0.742 0.174 0.362
2 Pu 0.105 0.638 0.174
3 Pu 0.395 0.000 0.000
4 Pu 0.279 0.826 0.638
5 Pu 0.917 0.362 0.826
6 Sb 0.429 0.387 0.781
7 Sb 0.816 0.781 0.613
8 Sb 0.210 0.219 0.387
9 Sb 0.598 0.613 0.219
10 H 0.019 0.000 0.000

- Crystal system: tetragonal
- Theoretical density: 10.16 g cm⁻³
- Space group: I4 (79)
- Total energy: -9.5739 eV per atom

***

Record 2
The following is a PBE calculation of crystalline Pu4Sb2H3 at its relaxed geometry, from Alexandria via LeMat-Bulk.

Lattice parameters (Å, degrees): 5.948 7.445 8.380 90.00 110.79 90.00
Element x y z (fractional)
1 H 0.459 0.250 0.418
2 H 0.500 0.500 0.000
3 H 0.000 0.000 0.000
4 H 0.041 0.750 0.582
5 H 0.541 0.750 0.582
6 H 0.959 0.250 0.418
7 Sb 0.115 0.587 0.230
8 Sb 0.885 0.413 0.770
9 Sb 0.615 0.913 0.230
10 Sb 0.385 0.087 0.770
11 Pu 0.701 0.543 0.402
12 Pu 0.294 0.250 0.089
13 Pu 0.706 0.750 0.911
14 Pu 0.299 0.457 0.598
15 Pu 0.201 0.957 0.402
16 Pu 0.206 0.750 0.911
17 Pu 0.799 0.043 0.598
18 Pu 0.794 0.250 0.089

- Crystal system: orthorhombic
- Theoretical density: 11.70 g cm⁻³
- Space group: Cmce (64)
- Total energy: -8.8197 eV per atom

***

Record 3
The following is a PBE calculation of crystalline Pu3SbH2 at its relaxed geometry, from Alexandria via LeMat-Bulk.

Lattice parameters (Å, degrees): 3.501 8.612 8.038 116.26 102.58 90.00
Element x y z (fractional)
1 Pu 0.830 0.199 0.661
2 Pu 0.438 0.639 0.876
3 Pu 0.735 0.688 0.470
4 Pu 0.265 0.312 0.530
5 Pu 0.170 0.801 0.339
6 Pu 0.562 0.361 0.124
7 H 0.876 0.692 0.751
8 H 0.717 0.412 0.435
9 H 0.283 0.588 0.565
10 H 0.124 0.308 0.249
11 Sb 0.606 0.025 0.211
12 Sb 0.394 0.975 0.789

- Crystal system: monoclinic
- Theoretical density: 13.48 g cm⁻³
- Space group: C2/m (12)
- E above lowest polymorph: 133 meV per atom

***

Record 4
The following is a PBE calculation of crystalline Pu6Sb3H at its relaxed geometry, from Alexandria via LeMat-Bulk.

Lattice parameters (Å, degrees): 7.613 7.688 7.688 79.73 90.00 90.00
Element x y z (fractional)
1 Pu 0.159 0.492 0.819
2 Pu 0.669 0.165 0.835
3 Pu 0.738 0.492 0.819
4 Pu 0.169 0.835 0.165
5 Pu 0.238 0.508 0.181
6 Pu 0.728 0.835 0.165
7 Pu 0.659 0.819 0.492
8 Pu 0.238 0.819 0.492
9 Pu 0.659 0.508 0.181
10 Pu 0.738 0.181 0.508
11 Pu 0.228 0.165 0.835
12 Pu 0.159 0.181 0.508
13 Sb 0.449 0.792 0.863
14 Sb 0.449 0.452 0.548
15 Sb 0.949 0.208 0.137
16 Sb 0.449 0.137 0.208
17 Sb 0.949 0.548 0.452
18 Sb 0.949 0.863 0.792
19 H 0.449 0.734 0.266
20 H 0.949 0.266 0.734

- Crystal system: orthorhombic
- Theoretical density: 13.73 g cm⁻³
- Space group: Cmcm (63)
- Total energy: -10.4506 eV per atom